## YMoN3 (PBE)

Data for a geometry-optimized YMoN3 structure.

Lattice parameters (Å, degrees): 3.6237 5.3518 3.6237 91.60 108.45 88.40
Last column: nearest neighbours and their distance in Å.
Fractional positions:
Mo 0.5628 0.1673 0.7269  3 N 1.85-2.06
Y 0.1660 0.6968 0.1237  7 N 2.42-2.50
N 0.5483 0.5128 0.7414  1 Mo 1.85
N 0.6811 0.9971 0.2556  1 N 1.50
N 0.0341 0.9971 0.6086  1 N 1.50

As for the space-group type: Cm (8). The volume is 13.3 A^3/atom. The total energy comes out at -9.0455 eV/atom.

---

## TbY2Ho6Sc (PBE)

Data for a geometry-optimized TbY2Ho6Sc structure.

Lattice parameters (Å, degrees): 9.3383 8.6742 8.6742 117.18 93.47 93.47
Last column: nearest neighbours and their distance in Å.
Fractional positions:
Y 0.4523 0.7976 0.6951  5 Ho 3.20-3.47, 2 Tb 3.33-3.42, 1 Sc 3.42
Y 0.9523 0.6951 0.7976  5 Ho 3.20-3.47, 2 Tb 3.33-3.42, 1 Sc 3.42
Y 0.5477 0.2024 0.3049  5 Ho 3.20-3.47, 2 Tb 3.33-3.42, 1 Sc 3.42
Y 0.0477 0.3049 0.2024  5 Ho 3.20-3.47, 2 Tb 3.33-3.42, 1 Sc 3.42
Sc 0.2500 0.4138 0.5862  6 Ho 3.32-3.44, 2 Y 3.42
Sc 0.7500 0.5862 0.4138  6 Ho 3.32-3.44, 2 Y 3.42
Ho 0.0565 0.1267 0.7544  7 Ho 3.39-3.65, 1 Y 3.47, 1 Tb 3.61
Ho 0.3849 0.5104 0.2916  3 Y 3.20-3.38, 4 Ho 3.20-3.42, 2 Sc 3.32-3.44
Ho 0.3097 0.9938 0.4358  4 Ho 3.20-3.58, 1 Y 3.35, 1 Sc 3.36, 1 Tb 3.51
Ho 0.5565 0.7544 0.1267  7 Ho 3.39-3.65, 1 Y 3.47, 1 Tb 3.61
Ho 0.8849 0.2916 0.5104  3 Y 3.20-3.38, 4 Ho 3.20-3.42, 2 Sc 3.32-3.44
Ho 0.1903 0.5642 0.0062  4 Ho 3.20-3.58, 1 Y 3.35, 1 Sc 3.36, 1 Tb 3.51
Ho 0.9435 0.8733 0.2456  7 Ho 3.39-3.65, 1 Y 3.47, 1 Tb 3.61
Ho 0.4435 0.2456 0.8733  7 Ho 3.39-3.65, 1 Y 3.47, 1 Tb 3.61
Ho 0.1151 0.7084 0.4896  3 Y 3.20-3.38, 4 Ho 3.20-3.42, 2 Sc 3.32-3.44
Ho 0.8097 0.4358 0.9938  4 Ho 3.20-3.58, 1 Y 3.35, 1 Sc 3.36, 1 Tb 3.51
Ho 0.6903 0.0062 0.5642  4 Ho 3.20-3.58, 1 Y 3.35, 1 Sc 3.36, 1 Tb 3.51
Ho 0.6151 0.4896 0.7084  3 Y 3.20-3.38, 4 Ho 3.20-3.42, 2 Sc 3.32-3.44
Tb 0.7500 0.0242 0.9758  4 Y 3.33-3.42, 4 Ho 3.51-3.61
Tb 0.2500 0.9758 0.0242  4 Y 3.33-3.42, 4 Ho 3.51-3.61

As for the space-group type: C2/c (15). The volume is 31.0 A^3/atom. The formation energy is 132 meV/atom. The total energy comes out at -5.0035 eV/atom.

---

## HfAl3Au (PBE)

Data for a geometry-optimized HfAl3Au structure.

Lattice parameters (Å, degrees): 5.1923 5.1923 5.1923 90.00 90.00 90.00
Last column: nearest neighbours and their distance in Å.
Fractional positions:
Al 0.5000 0.0000 0.0000  2 Hf 2.60
Al 0.0000 0.0000 0.5000  2 Hf 2.60
Al 0.0000 0.5000 0.0000  2 Hf 2.60
Au 0.5000 0.5000 0.5000  12 Al 3.67
Hf 0.0000 0.0000 0.0000  6 Al 2.60

The value obtained for the offset from the most stable computed form is 1452 meV per atom. As for the space-group type: Pm-3m (221). The volume is 28.0 A^3/atom. The formation energy is 1132 meV/atom. The total energy comes out at -3.7600 eV/atom.

---

## NaHI2 (PBE)

Data for a geometry-optimized NaHI2 structure.

Lattice parameters (Å, degrees): 6.7193 6.7193 7.1586 62.01 62.01 90.00
Last column: nearest neighbours and their distance in Å.
Fractional positions:
Na 0.7500 0.2500 0.5000  4 I 3.13
Na 0.0000 0.0000 0.0000  4 I 3.13
H 0.2500 0.7500 0.5000  4 I 2.41
H 0.5000 0.5000 0.0000  4 I 2.41
I 0.8750 0.7871 0.7500  2 H 2.41
I 0.3750 0.4629 0.7500  2 H 2.41
I 0.5371 0.1250 0.2500  2 H 2.41
I 0.2129 0.6250 0.2500  2 H 2.41

The value obtained for the offset from the most stable computed form is 349 meV per atom. As for the space-group type: I-42d (122). The volume is 30.2 A^3/atom. The total energy comes out at -2.2024 eV/atom.

---

## MnTlW (PBE)

Data for a geometry-optimized MnTlW structure.

Lattice parameters (Å, degrees): 6.0332 6.0332 6.0332 151.26 151.26 41.09
Last column: nearest neighbours and their distance in Å.
Fractional positions:
Mn 0.0221 0.0221 0.0000  4 W 2.48
Tl 0.3408 0.3408 0.0000  4 Mn 2.95, 4 Tl 2.99, 4 W 3.13
W 0.6371 0.6371 0.0000  4 Mn 2.48

The value obtained for the offset from the most stable computed form is 0 meV per atom. As for the space-group type: I4mm (107). The volume is 16.9 A^3/atom. The formation energy is 629 meV/atom. The total energy comes out at -7.5336 eV/atom.

---

## La3MgPb (PBE)

Data for a geometry-optimized La3MgPb structure.

Lattice parameters (Å, degrees): 6.1270 6.1270 6.1270 90.00 90.00 90.00
Last column: nearest neighbours and their distance in Å.
Fractional positions:
Pb 0.0000 0.0000 0.0000  6 La 3.06
La 0.0000 0.0000 0.5000  2 Pb 3.06
La 0.0000 0.5000 0.0000  2 Pb 3.06
La 0.5000 0.0000 0.0000  2 Pb 3.06
Mg 0.5000 0.5000 0.5000  12 La 4.33

The value obtained for the offset from the most stable computed form is 0 meV per atom. As for the space-group type: Pm-3m (221). The volume is 46.0 A^3/atom. The formation energy is 253 meV/atom. The total energy comes out at -3.7640 eV/atom.

---

Q: Which formula does entry 5 have?
A: MnTlW